Entry from Alexandria via LeMat-Bulk: a relaxed structure of CsTlBiPd (PBE).

a = 4.692 Å, b = 4.692 Å, c = 8.053 Å
α = 73.06°, β = 73.06°, γ = 60.00°
Fractional positions:
1 Pd 0.628 0.628 0.116
2 Bi 0.266 0.266 0.201
3 Cs 0.810 0.810 0.570
4 Tl 0.021 0.021 0.936

Computed properties:
- DOS(E_F) (states/eV/atom) = 0.643
- calculated formation energy (eV/atom) = -0.267
- theoretical density (g/cm³) = 7.5

***

Entry from Alexandria via LeMat-Bulk: a relaxed structure of NaIn2Hg5Pb2 (PBE).

a = 4.682 Å, b = 10.947 Å, c = 10.947 Å
α = 90.00°, β = 90.00°, γ = 90.00°
Fractional positions:
1 Na 0.000 0.000 0.000
2 Na 0.000 0.500 0.500
3 In 0.000 0.838 0.338
4 In 0.000 0.662 0.838
5 In 0.000 0.162 0.662
6 In 0.000 0.338 0.162
7 Hg 0.500 0.200 0.036
8 Hg 0.500 0.300 0.536
9 Hg 0.500 0.000 0.500
10 Hg 0.500 0.964 0.200
11 Hg 0.500 0.464 0.300
12 Hg 0.500 0.800 0.964
13 Hg 0.500 0.036 0.800
14 Hg 0.500 0.500 0.000
15 Hg 0.500 0.536 0.700
16 Hg 0.500 0.700 0.464
17 Pb 0.000 0.860 0.640
18 Pb 0.000 0.640 0.140
19 Pb 0.000 0.360 0.860
20 Pb 0.000 0.140 0.360

Computed properties:
- DOS(E_F) (states/eV/atom) = 0.247
- calculated formation energy (eV/atom) = -0.027
- theoretical density (g/cm³) = 9.9

***

Entry from Alexandria via LeMat-Bulk: a relaxed structure of NaY2NpO8 (PBE).

a = 5.497 Å, b = 4.494 Å, c = 7.022 Å
α = 89.96°, β = 90.00°, γ = 89.70°
Fractional positions:
1 Na 0.000 0.000 0.500
2 O 0.548 0.842 0.500
3 O 0.452 0.158 0.500
4 O 0.149 0.771 0.210
5 O 0.851 0.229 0.790
6 O 0.676 0.734 0.000
7 O 0.850 0.228 0.210
8 O 0.150 0.772 0.790
9 O 0.324 0.266 0.000
10 Y 0.500 0.500 0.241
11 Y 0.500 0.500 0.759
12 Np 0.000 0.000 0.000

Computed properties:
- formation energy (no corrections) (eV/atom) = -2.55
- theoretical density (g/cm³) = 5.4

***

Entry from Alexandria via LeMat-Bulk: a relaxed structure of BaZnNi (PBE).

a = 4.836 Å, b = 6.405 Å, c = 6.406 Å
α = 103.45°, β = 110.02°, γ = 110.00°
Fractional positions:
1 Ba 0.966 0.978 0.531
2 Ba 0.966 0.588 0.920
3 Ni 0.862 0.368 0.311
4 Ni 0.377 0.667 0.609
5 Zn 0.684 0.026 0.968
6 Zn 0.344 0.337 0.280

Computed properties:
- DOS(E_F) (states/eV/atom) = 0.535
- calculated formation energy (eV/atom) = -0.091
- theoretical density (g/cm³) = 5.4

***

Entry from Alexandria via LeMat-Bulk: a relaxed structure of NaGeTe4Pb2 (PBE).

a = 8.945 Å, b = 8.945 Å, c = 8.902 Å
α = 119.85°, β = 119.85°, γ = 89.89°
Fractional positions:
1 Te 0.763 0.242 0.002
2 Te 0.742 0.263 0.502
3 Te 0.248 0.252 0.019
4 Te 0.258 0.737 0.498
5 Te 0.237 0.758 0.998
6 Te 0.752 0.748 0.981
7 Te 0.752 0.748 0.519
8 Te 0.248 0.252 0.481
9 Ge 0.000 0.000 0.000
10 Ge 0.500 0.500 0.500
11 Na 0.000 0.500 0.500
12 Na 0.000 0.500 0.000
13 Pb 0.500 0.000 0.500
14 Pb 0.000 0.000 0.500
15 Pb 0.500 0.500 0.000
16 Pb 0.500 0.000 0.000

Computed properties:
- formation energy (no corrections) (eV/atom) = -0.34
- DOS(E_F) (states/eV/atom) = 0.612
- theoretical density (g/cm³) = 6.7

***

Entry from Alexandria via LeMat-Bulk: a relaxed structure of Pr2Ge3AsRh4 (PBE).

a = 4.307 Å, b = 4.307 Å, c = 10.075 Å
α = 90.00°, β = 90.00°, γ = 90.00°
Fractional positions:
1 Ge 0.500 0.000 0.871
2 Ge 0.000 0.000 0.500
3 Ge 0.000 0.500 0.129
4 Pr 0.000 0.500 0.742
5 Pr 0.500 0.000 0.258
6 Rh 0.000 0.000 0.000
7 Rh 0.500 0.500 0.000
8 Rh 0.500 0.000 0.625
9 Rh 0.000 0.500 0.375
10 As 0.500 0.500 0.500

Computed properties:
- DOS(E_F) (states/eV/atom) = 0.561
- calculated formation energy (eV/atom) = -0.885
- theoretical density (g/cm³) = 8.8